VASP calculation (PBE) on GaRe2SnIr after structural relaxation.

Summary:
Mass density in g/cm³: 10.739
Energy relative to the elements in eV per atom: 1.67
D(E_F) in states/eV per atom: 1.167
Energy in eV/atom: -6.487
Space-group type: P4/mmm, No. 123

Cell lengths 4.825, 4.825, 5.002 Å; angles 90.00, 90.00, 90.00 degrees
Sites, in units of the cell vectors:
Ga  0.000  0.000  0.000
Re  0.000  0.500  0.500
Re  0.500  0.000  0.500
Sn  0.500  0.500  0.000
Ir  0.500  0.500  0.500